1.
First-principles (PBE) data for Mn2NiSb after structural relaxation, as listed in Alexandria via LeMat-Bulk.

Output
Its space group is No. 139. The density is 8.55 g/cm3. For the magnetic moment, the calculation gives 11.7 Bohr magnetons per cell. The calculation puts the total energy at -7.05 eV/atom.

Unit cell a=3.806 b=3.806 c=7.787 alpha=90.00 beta=90.00 gamma=90.00
Atoms (fractional coordinates):
Mn (0.000, 0.500, 0.250)
Mn (0.000, 0.500, 0.750)
Mn (0.500, 0.000, 0.250)
Mn (0.500, 0.000, 0.750)
Ni (0.000, 0.000, 0.000)
Ni (0.500, 0.500, 0.500)
Sb (0.000, 0.000, 0.500)
Sb (0.500, 0.500, 0.000)

2.
First-principles (PBE) data for Mn2NiSb after structural relaxation, as listed in Alexandria via LeMat-Bulk.

Output
Its space group is No. 38. The density is 7.63 g/cm3. For the magnetic moment, the calculation gives 14.9 Bohr magnetons per cell. The calculation puts the total energy at -6.89 eV/atom.

Unit cell a=3.963 b=3.053 c=10.440 alpha=90.00 beta=90.00 gamma=90.00
Atoms (fractional coordinates):
Mn (0.000, 0.000, 0.000)
Mn (0.000, 0.500, 0.500)
Mn (0.500, 0.000, 0.351)
Mn (0.500, 0.500, 0.851)
Ni (0.500, 0.000, 0.581)
Ni (0.500, 0.500, 0.081)
Sb (0.000, 0.000, 0.737)
Sb (0.000, 0.500, 0.237)

3.
First-principles (PBE) data for Mn2NiSb after structural relaxation, as listed in Alexandria via LeMat-Bulk.

Output
Its space group is No. 10. The density is 8.02 g/cm3. For the magnetic moment, the calculation gives 6.8 Bohr magnetons per cell. The calculation puts the total energy at -6.90 eV/atom.

Unit cell a=3.034 b=3.707 c=5.343 alpha=90.00 beta=90.23 gamma=90.00
Atoms (fractional coordinates):
Mn (0.001, 0.000, 0.268)
Mn (0.999, 0.000, 0.732)
Ni (0.500, 0.500, 0.500)
Sb (0.500, 0.500, 0.000)

4.
First-principles (PBE) data for MnNi2Sb after structural relaxation, as listed in Alexandria via LeMat-Bulk.

Output
Its space group is No. 216. The density is 8.89 g/cm3. For the magnetic moment, the calculation gives 13.7 Bohr magnetons per cell. The calculation puts the total energy at -6.21 eV/atom.

Unit cell a=6.034 b=6.034 c=6.034 alpha=90.00 beta=90.00 gamma=90.00
Atoms (fractional coordinates):
Mn (0.000, 0.000, 0.000)
Mn (0.000, 0.500, 0.500)
Mn (0.500, 0.000, 0.500)
Mn (0.500, 0.500, 0.000)
Ni (0.000, 0.000, 0.500)
Ni (0.000, 0.500, 0.000)
Ni (0.250, 0.250, 0.250)
Ni (0.250, 0.750, 0.750)
Ni (0.500, 0.000, 0.000)
Ni (0.500, 0.500, 0.500)
Ni (0.750, 0.250, 0.750)
Ni (0.750, 0.750, 0.250)
Sb (0.250, 0.250, 0.750)
Sb (0.250, 0.750, 0.250)
Sb (0.750, 0.250, 0.250)
Sb (0.750, 0.750, 0.750)

5.
First-principles (PBE) data for MnNiSb2 after structural relaxation, as listed in Alexandria via LeMat-Bulk.

Output
Its space group is No. 160. The density is 7.05 g/cm3. For the magnetic moment, the calculation gives 10.5 Bohr magnetons per cell. The calculation puts the total energy at -5.75 eV/atom. The energy above the most stable polymorph in this dataset comes out at 0.1650 eV/atom.

Unit cell a=4.046 b=4.046 c=17.810 alpha=90.00 beta=90.00 gamma=120.00
Atoms (fractional coordinates):
Mn (0.000, 0.000, 0.000)
Mn (0.333, 0.667, 0.667)
Mn (0.667, 0.333, 0.333)
Ni (0.000, 0.000, 0.703)
Ni (0.333, 0.667, 0.370)
Ni (0.667, 0.333, 0.037)
Sb (0.000, 0.000, 0.257)
Sb (0.000, 0.000, 0.436)
Sb (0.333, 0.667, 0.103)
Sb (0.333, 0.667, 0.923)
Sb (0.667, 0.333, 0.590)
Sb (0.667, 0.333, 0.770)

6.
First-principles (PBE) data for MnNiSb2 after structural relaxation, as listed in Alexandria via LeMat-Bulk.

Output
Its space group is No. 164. The density is 7.88 g/cm3. For the magnetic moment, the calculation gives 3.1 Bohr magnetons per cell. The calculation puts the total energy at -5.92 eV/atom. The energy above the most stable polymorph in this dataset comes out at 0.0000 eV/atom.

Unit cell a=4.012 b=4.012 c=5.400 alpha=90.00 beta=90.00 gamma=120.00
Atoms (fractional coordinates):
Mn (0.000, 0.000, 0.000)
Ni (0.000, 0.000, 0.500)
Sb (0.333, 0.667, 0.737)
Sb (0.667, 0.333, 0.263)

7.
First-principles (PBE) data for MnNi2Sb after structural relaxation, as listed in Alexandria via LeMat-Bulk.

Output
Its space group is No. 99. The density is 8.35 g/cm3. For the magnetic moment, the calculation gives 4.3 Bohr magnetons per cell. The calculation puts the total energy at -6.15 eV/atom.

Unit cell a=3.336 b=3.336 c=5.255 alpha=90.00 beta=90.00 gamma=90.00
Atoms (fractional coordinates):
Mn (0.000, 0.000, 0.000)
Ni (0.000, 0.000, 0.465)
Ni (0.500, 0.500, 0.198)
Sb (0.500, 0.500, 0.689)

8.
First-principles (PBE) data for Mn2NiSb after structural relaxation, as listed in Alexandria via LeMat-Bulk.

Output
Its space group is No. 216. The density is 8.75 g/cm3. For the magnetic moment, the calculation gives 18.6 Bohr magnetons per cell. The calculation puts the total energy at -6.99 eV/atom.

Unit cell a=6.040 b=6.040 c=6.040 alpha=90.00 beta=90.00 gamma=90.00
Atoms (fractional coordinates):
Mn (0.000, 0.000, 0.000)
Mn (0.000, 0.500, 0.500)
Mn (0.250, 0.250, 0.250)
Mn (0.250, 0.750, 0.750)
Mn (0.500, 0.000, 0.500)
Mn (0.500, 0.500, 0.000)
Mn (0.750, 0.250, 0.750)
Mn (0.750, 0.750, 0.250)
Ni (0.000, 0.000, 0.500)
Ni (0.000, 0.500, 0.000)
Ni (0.500, 0.000, 0.000)
Ni (0.500, 0.500, 0.500)
Sb (0.250, 0.250, 0.750)
Sb (0.250, 0.750, 0.250)
Sb (0.750, 0.250, 0.250)
Sb (0.750, 0.750, 0.750)

9.
First-principles (PBE) data for Mn2NiSb2 after structural relaxation, as listed in Alexandria via LeMat-Bulk.

Output
Its space group is No. 127. The density is 7.45 g/cm3. For the magnetic moment, the calculation gives 13.5 Bohr magnetons per cell. The calculation puts the total energy at -6.23 eV/atom. The energy above the most stable polymorph in this dataset comes out at 0.0000 eV/atom.

Unit cell a=6.879 b=6.879 c=3.881 alpha=90.00 beta=90.00 gamma=90.00
Atoms (fractional coordinates):
Mn (0.134, 0.366, 0.000)
Mn (0.366, 0.866, 0.000)
Mn (0.634, 0.134, 0.000)
Mn (0.866, 0.634, 0.000)
Ni (0.000, 0.000, 0.500)
Ni (0.500, 0.500, 0.500)
Sb (0.166, 0.666, 0.500)
Sb (0.334, 0.166, 0.500)
Sb (0.666, 0.834, 0.500)
Sb (0.834, 0.334, 0.500)

10.
First-principles (PBE) data for MnNiSb2 after structural relaxation, as listed in Alexandria via LeMat-Bulk.

Output
Its space group is No. 122. The density is 7.50 g/cm3. For the magnetic moment, the calculation gives 0.4 Bohr magnetons per cell. The calculation puts the total energy at -5.37 eV/atom. The energy above the most stable polymorph in this dataset comes out at 0.5497 eV/atom.

Unit cell a=4.442 b=4.442 c=16.039 alpha=90.00 beta=90.00 gamma=90.00
Atoms (fractional coordinates):
Mn (0.000, 0.000, 0.000)
Mn (0.000, 0.500, 0.250)
Mn (0.500, 0.000, 0.750)
Mn (0.500, 0.500, 0.500)
Ni (0.000, 0.000, 0.500)
Ni (0.000, 0.500, 0.750)
Ni (0.500, 0.000, 0.250)
Ni (0.500, 0.500, 0.000)
Sb (0.248, 0.250, 0.625)
Sb (0.250, 0.748, 0.875)
Sb (0.250, 0.752, 0.375)
Sb (0.252, 0.250, 0.125)
Sb (0.748, 0.750, 0.125)
Sb (0.750, 0.248, 0.375)
Sb (0.750, 0.252, 0.875)
Sb (0.752, 0.750, 0.625)

11.
First-principles (PBE) data for Mn2Ni3Sb3 after structural relaxation, as listed in Alexandria via LeMat-Bulk.

Output
Its space group is No. 193. The density is 8.06 g/cm3. For the magnetic moment, the calculation gives 14.5 Bohr magnetons per cell. The calculation puts the total energy at -6.10 eV/atom.

Unit cell a=7.470 b=7.470 c=5.555 alpha=90.00 beta=90.00 gamma=120.00
Atoms (fractional coordinates):
Mn (0.333, 0.667, 0.000)
Mn (0.333, 0.667, 0.500)
Mn (0.667, 0.333, 0.000)
Mn (0.667, 0.333, 0.500)
Ni (0.000, 0.365, 0.250)
Ni (0.000, 0.635, 0.750)
Ni (0.365, 0.000, 0.250)
Ni (0.365, 0.365, 0.750)
Ni (0.635, 0.000, 0.750)
Ni (0.635, 0.635, 0.250)
Sb (0.000, 0.302, 0.750)
Sb (0.000, 0.698, 0.250)
Sb (0.302, 0.000, 0.750)
Sb (0.302, 0.302, 0.250)
Sb (0.698, 0.000, 0.250)
Sb (0.698, 0.698, 0.750)

12.
First-principles (PBE) data for Mn2NiSb2 after structural relaxation, as listed in Alexandria via LeMat-Bulk.

Output
Its space group is No. 139. The density is 7.82 g/cm3. For the magnetic moment, the calculation gives 2.6 Bohr magnetons per cell. The calculation puts the total energy at -5.89 eV/atom. The energy above the most stable polymorph in this dataset comes out at 0.3392 eV/atom.

Unit cell a=4.911 b=4.911 c=7.255 alpha=90.00 beta=90.00 gamma=90.00
Atoms (fractional coordinates):
Mn (0.000, 0.000, 0.134)
Mn (0.000, 0.000, 0.866)
Mn (0.500, 0.500, 0.366)
Mn (0.500, 0.500, 0.634)
Ni (0.000, 0.000, 0.500)
Ni (0.500, 0.500, 0.000)
Sb (0.000, 0.500, 0.250)
Sb (0.000, 0.500, 0.750)
Sb (0.500, 0.000, 0.250)
Sb (0.500, 0.000, 0.750)

13.
First-principles (PBE) data for MnNi2Sb after structural relaxation, as listed in Alexandria via LeMat-Bulk.

Output
Its space group is No. 166. The density is 7.90 g/cm3. For the magnetic moment, the calculation gives 12.6 Bohr magnetons per cell. The calculation puts the total energy at -5.94 eV/atom.

Unit cell a=3.085 b=3.085 c=22.487 alpha=90.00 beta=90.00 gamma=120.00
Atoms (fractional coordinates):
Mn (0.000, 0.000, 0.000)
Mn (0.333, 0.667, 0.667)
Mn (0.667, 0.333, 0.333)
Ni (0.000, 0.000, 0.253)
Ni (0.000, 0.000, 0.747)
Ni (0.333, 0.667, 0.414)
Ni (0.333, 0.667, 0.919)
Ni (0.667, 0.333, 0.081)
Ni (0.667, 0.333, 0.586)
Sb (0.000, 0.000, 0.500)
Sb (0.333, 0.667, 0.167)
Sb (0.667, 0.333, 0.833)

14.
First-principles (PBE) data for MnNiSb after structural relaxation, as listed in Alexandria via LeMat-Bulk.

Output
Its space group is No. 216. The density is 7.59 g/cm3. For the magnetic moment, the calculation gives 16.0 Bohr magnetons per cell. The calculation puts the total energy at -6.56 eV/atom. The energy above the most stable polymorph in this dataset comes out at 0.0000 eV/atom.

Unit cell a=5.905 b=5.905 c=5.905 alpha=90.00 beta=90.00 gamma=90.00
Atoms (fractional coordinates):
Mn (0.000, 0.000, 0.000)
Mn (0.000, 0.500, 0.500)
Mn (0.500, 0.000, 0.500)
Mn (0.500, 0.500, 0.000)
Ni (0.250, 0.250, 0.750)
Ni (0.250, 0.750, 0.250)
Ni (0.750, 0.250, 0.250)
Ni (0.750, 0.750, 0.750)
Sb (0.000, 0.000, 0.500)
Sb (0.000, 0.500, 0.000)
Sb (0.500, 0.000, 0.000)
Sb (0.500, 0.500, 0.500)